1.
AcDy2Tm2: relaxed, PBE.

Lattice parameters (Å, degrees): 8.611 8.611 11.387 90.00 90.00 155.77
Element x y z (fractional)
1 Ac 0.098 0.902 0.500
2 Ac 0.902 0.098 0.000
3 Dy 0.208 0.792 0.056
4 Dy 0.411 0.589 0.374
5 Dy 0.589 0.411 0.874
6 Dy 0.792 0.208 0.556
7 Tm 0.258 0.742 0.791
8 Tm 0.440 0.560 0.681
9 Tm 0.560 0.440 0.181
10 Tm 0.742 0.258 0.291

**SG**: Cmc2_1 (36)
**M_tot**: 0.000 μB/atom
**Raw total energy**: -42.927 eV for the cell shown

***

2.
AcDy6Tm12: relaxed, PBE.

Lattice parameters (Å, degrees): 9.187 9.187 9.187 107.16 107.16 107.16
Element x y z (fractional)
1 Ac 0.000 0.000 0.000
2 Dy 0.266 0.696 0.696
3 Dy 0.304 0.304 0.734
4 Dy 0.304 0.734 0.304
5 Dy 0.696 0.266 0.696
6 Dy 0.696 0.696 0.266
7 Dy 0.734 0.304 0.304
8 Tm 0.111 0.500 0.889
9 Tm 0.111 0.889 0.500
10 Tm 0.157 0.379 0.379
11 Tm 0.379 0.157 0.379
12 Tm 0.379 0.379 0.157
13 Tm 0.500 0.111 0.889
14 Tm 0.500 0.889 0.111
15 Tm 0.621 0.621 0.843
16 Tm 0.621 0.843 0.621
17 Tm 0.843 0.621 0.621
18 Tm 0.889 0.111 0.500
19 Tm 0.889 0.500 0.111

**SG**: R-3m (166)
**M_tot**: 0.000 μB/atom
**Raw total energy**: -77.274 eV for the cell shown

***

3.
AcDy4Tm: relaxed, PBE.

Lattice parameters (Å, degrees): 3.617 3.617 15.241 90.00 90.00 90.00
Element x y z (fractional)
1 Ac 0.000 0.000 0.000
2 Dy 0.000 0.000 0.341
3 Dy 0.000 0.000 0.659
4 Dy 0.500 0.500 0.181
5 Dy 0.500 0.500 0.819
6 Tm 0.500 0.500 0.500

**SG**: P4/mmm (123)
**M_tot**: 0.000 μB/atom
**Raw total energy**: -26.673 eV for the cell shown